1.
VASP calculation (GGA-PBE) on Ac5La4Tm2 after structural relaxation.

N(E_F): 1.790 states/eV per atom
Formation enthalpy at 0 K: 0.160 eV per atom

Structure (POSCAR):
```
Ac5La4Tm2
1.0
-3.3864 1.4515 -0.2420
3.0759 5.3581 -10.9070
-6.1390 -13.2411 6.4887
Ac La Tm
5 4 2
Direct
0.0000 0.6261 0.2980 Ac
0.0000 0.2277 0.1955 Ac
0.0000 0.5000 0.0000 Ac
0.0000 0.7723 0.8045 Ac
0.0000 0.3739 0.7020 Ac
0.5000 0.6842 0.5386 La
0.5000 0.1569 0.9265 La
0.5000 0.3158 0.4614 La
0.5000 0.8431 0.0735 La
0.0000 0.0387 0.6602 Tm
0.0000 0.9613 0.3398 Tm
```

---

2.
VASP calculation (GGA-PBE) on Ac6LaTm after structural relaxation.

N(E_F): 1.696 states/eV per atom
Formation enthalpy at 0 K: 0.113 eV per atom

Structure (POSCAR):
```
Ac6LaTm
1.0
-4.7470 -2.4564 3.5392
0.5708 -9.2522 0.1496
3.2770 -6.6941 5.5549
Ac La Tm
6 1 1
Direct
0.2466 0.8033 0.7034 Ac
0.3795 0.1550 0.0860 Ac
0.8781 0.5797 0.6640 Ac
0.6205 0.8450 0.9140 Ac
0.7534 0.1967 0.2966 Ac
0.1219 0.4203 0.3360 Ac
0.5000 0.5000 0.5000 La
0.0000 0.0000 0.0000 Tm
```

---

3.
VASP calculation (GGA-PBE) on Ac6LaTm2 after structural relaxation.

N(E_F): 1.639 states/eV per atom
Formation enthalpy at 0 K: 0.162 eV per atom

Structure (POSCAR):
```
Ac6LaTm2
1.0
12.2767 -1.8207 1.2032
0.3368 7.8650 -0.9843
-1.8137 -0.9172 7.6687
Ac La Tm
12 2 4
Direct
0.6424 0.5680 0.6400 Ac
0.8576 0.3600 0.4320 Ac
0.3576 0.4320 0.3600 Ac
0.1424 0.6400 0.5680 Ac
0.9071 0.8207 0.3343 Ac
0.5929 0.6657 0.1793 Ac
0.0929 0.1793 0.6657 Ac
0.4071 0.3343 0.8207 Ac
0.1534 0.5950 0.0482 Ac
0.3466 0.9518 0.4050 Ac
0.8466 0.4050 0.9518 Ac
0.6534 0.0482 0.5950 Ac
0.2500 0.0208 0.9792 La
0.7500 0.9792 0.0208 La
0.4469 0.8153 0.8141 Tm
0.0531 0.1859 0.1847 Tm
0.5531 0.1847 0.1859 Tm
0.9469 0.8141 0.8153 Tm
```